PHOsS2 | PBE-GGA | relaxed

Results
magnetization = 0.00 μB/cell
calculated volume = 11.95 Å³ per atom
crystal system = tetragonal
offset from the most stable computed form = 0.00 eV per formula unit
density of states at the Fermi level = 1.97 states/eV per cell

Cell and atoms, written as CIF:
```
data_PHOsS2
_cell_length_a 4.347
_cell_length_b 4.347
_cell_length_c 3.161
_cell_angle_alpha 90.00
_cell_angle_beta 90.00
_cell_angle_gamma 90.00
_space_group_name_H-M_alt 'P 4/m m m'
_space_group_IT_number 123
_space_group_name_Hall '-P 4 2'
loop_
_atom_site_label
_atom_site_type_symbol
_atom_site_fract_x
_atom_site_fract_y
_atom_site_fract_z
_atom_site_occupancy
P1 P 0.000 0.000 0.000 1
H1 H 0.000 0.000 0.500 1
Os1 Os 0.500 0.500 0.000 1
S1 S 0.000 0.500 0.500 1
```